Tl2SBr after structural relaxation. Source: Alexandria, functional PBE.

Cell lengths 7.6178, 7.6178, 7.6178 Å; angles 90.00, 90.00, 90.00 degrees
Closest atoms and distances in Å follow each position.
Fractional positions:
1 Tl 0.2500 0.2500 0.2500  4 Br 3.30, 4 S 3.30
2 Tl 0.2500 0.2500 0.7500  4 S 3.30, 4 Br 3.30
3 Tl 0.2500 0.7500 0.2500  4 S 3.30, 4 Br 3.30
4 Tl 0.2500 0.7500 0.7500  4 S 3.30, 4 Br 3.30
5 Tl 0.7500 0.2500 0.2500  4 S 3.30, 4 Br 3.30
6 Tl 0.7500 0.2500 0.7500  4 S 3.30, 4 Br 3.30
7 Tl 0.7500 0.7500 0.2500  4 S 3.30, 4 Br 3.30
8 Tl 0.7500 0.7500 0.7500  4 S 3.30, 4 Br 3.30
9 S 0.0000 0.0000 0.0000  8 Tl 3.30
10 S 0.0000 0.5000 0.5000  8 Tl 3.30
11 S 0.5000 0.0000 0.5000  8 Tl 3.30
12 S 0.5000 0.5000 0.0000  8 Tl 3.30
13 Br 0.0000 0.0000 0.5000  8 Tl 3.30
14 Br 0.0000 0.5000 0.0000  8 Tl 3.30
15 Br 0.5000 0.0000 0.0000  8 Tl 3.30
16 Br 0.5000 0.5000 0.5000  8 Tl 3.30

crystal system: cubic
ΔE_f (raw): -288 meV/atom
energy above the most stable polymorph in this dataset: 0.768 eV per formula unit